DFT (PBE-GGA) results for crystalline AcTmAl2Au2 at its relaxed geometry.

a b c (Å): 4.5975 4.5975 7.7276
angles (deg): 90.00 90.00 120.00
Atoms (fractional coordinates):
Tm 0.0000 0.0000 0.5000
Au 0.6667 0.3333 0.7012
Au 0.3333 0.6667 0.2988
Al 0.6667 0.3333 0.2988
Al 0.3333 0.6667 0.7012
Ac 0.0000 0.0000 0.0000

Results
Formation enthalpy at 0 K = -734 meV/atom

DFT (PBE-GGA) results for crystalline LiHo6Pd5 at its relaxed geometry.

a b c (Å): 4.9522 8.6019 8.6019
angles (deg): 120.14 106.73 106.73
Atoms (fractional coordinates):
Pd 0.0000 0.3293 0.6707
Pd 0.5000 0.1562 0.8438
Pd 0.5000 0.8438 0.1562
Pd 0.5000 0.5000 0.5000
Pd 0.0000 0.6707 0.3293
Ho 0.7598 0.2598 0.2598
Ho 0.2402 0.7402 0.7402
Ho 0.2544 0.4243 0.0846
Ho 0.2544 0.0846 0.4243
Ho 0.7456 0.5757 0.9154
Ho 0.7456 0.9154 0.5757
Li 0.0000 0.0000 0.0000

Results
Formation enthalpy at 0 K = -753 meV/atom

DFT (PBE-GGA) results for crystalline Cs12CdAu4 at its relaxed geometry.

a b c (Å): 11.8007 11.8007 11.8007
angles (deg): 109.47 109.47 109.47
Atoms (fractional coordinates):
Cs 0.1232 0.8230 0.3001
Cs 0.1770 0.3001 0.4771
Cs 0.8230 0.6999 0.5229
Cs 0.5229 0.8230 0.6999
Cs 0.3001 0.1232 0.8230
Cs 0.4771 0.1770 0.3001
Cs 0.1770 0.6999 0.8768
Cs 0.8230 0.3001 0.1232
Cs 0.6999 0.8768 0.1770
Cs 0.8768 0.1770 0.6999
Cs 0.3001 0.4771 0.1770
Cs 0.6999 0.5229 0.8230
Au 0.0000 0.0000 0.5000
Au 0.5000 0.0000 0.0000
Au 0.0000 0.5000 0.0000
Au 0.5000 0.5000 0.5000
Cd 0.0000 0.0000 0.0000

Results
Formation enthalpy at 0 K = -142 meV/atom

DFT (PBE-GGA) results for crystalline Tb2MgS at its relaxed geometry.

a b c (Å): 3.6900 3.6900 10.0564
angles (deg): 79.43 79.43 60.00
Atoms (fractional coordinates):
S 0.5000 0.5000 0.5000
Tb 0.1109 0.1109 0.6673
Tb 0.8891 0.8891 0.3327
Mg 0.0000 0.0000 0.0000

Results
Energy relative to the elements, uncorrected = -2.762 eV/f.u.
Energy above the most stable polymorph in this dataset = 244.1 meV/atom